! KNa3Ga2, relaxed, DFT GGA-PBE; values from VASP
&SYSTEM
  ibrav = 0, nat = 12, ntyp = 3
/
ATOMIC_SPECIES
K 39.10 K.upf
Na 22.99 Na.upf
Ga 69.72 Ga.upf
ATOMIC_POSITIONS angstrom
K 1.138 0.000 2.234
K 10.388 0.000 8.435
Na -1.750 0.000 7.736
Na 3.982 0.000 5.839
Na 6.834 0.000 1.002
Na 4.693 0.000 9.667
Na 7.545 0.000 4.830
Na 13.276 0.000 2.933
Ga 3.865 0.000 0.127
Ga 0.858 0.000 5.662
Ga 10.668 0.000 5.007
Ga 7.661 0.000 10.542
CELL_PARAMETERS angstrom
8.840 -2.233 0.000
8.840 2.233 0.000
-6.154 0.000 10.669
! Space-group type: No. 12
! Calculated formation energy (eV/atom): -0.020
! Spin magnetization (μB/f.u.): 0.000